# TbTlAs2 | Alexandria | PBE | relaxed
data_TbTlAs2
_cell_length_a 4.2474
_cell_length_b 4.2474
_cell_length_c 20.4489
_cell_angle_alpha 90.00
_cell_angle_beta 90.00
_cell_angle_gamma 120.00
_space_group_name_H-M_alt 'R -3 m'
_space_group_IT_number 166
_space_group_name_Hall '-R 3 2"'
loop_
_atom_site_label
_atom_site_type_symbol
_atom_site_fract_x
_atom_site_fract_y
_atom_site_fract_z
Tb1 Tb 0.0000 0.0000 0.0000
Tl1 Tl 0.0000 0.0000 0.5000
As1 As 0.0000 0.0000 0.2563
# magnetic moment: 0.000 μB per atom
# ΔE to the lowest computed polymorph: 164.0 meV per atom
# density of states at the Fermi level: 0.71 states/eV per atom
# E_form: -10.506 kcal/mol of atoms
# total DFT energy (no corrections): -4.529 eV/atom

=====

# TbTlAs2 | Alexandria | PBE | relaxed
data_TbTlAs2
_cell_length_a 3.9339
_cell_length_b 3.9339
_cell_length_c 6.4949
_cell_angle_alpha 90.00
_cell_angle_beta 90.00
_cell_angle_gamma 90.00
_space_group_name_H-M_alt 'P 4/m m m'
_space_group_IT_number 123
_space_group_name_Hall '-P 4 2'
loop_
_atom_site_label
_atom_site_type_symbol
_atom_site_fract_x
_atom_site_fract_y
_atom_site_fract_z
Tb1 Tb 0.0000 0.0000 0.0000
Tl1 Tl 0.0000 0.0000 0.5000
As1 As 0.5000 0.5000 0.1955
# magnetic moment: 0.000 μB per atom
# ΔE to the lowest computed polymorph: 0.0 meV per atom
# density of states at the Fermi level: 0.52 states/eV per atom
# E_form: -14.287 kcal/mol of atoms
# total DFT energy (no corrections): -4.693 eV/atom

=====

# TbTlAs | Alexandria | PBE | relaxed
data_TbTlAs
_cell_length_a 4.0127
_cell_length_b 4.0127
_cell_length_c 11.6247
_cell_angle_alpha 90.00
_cell_angle_beta 90.00
_cell_angle_gamma 90.00
_space_group_name_H-M_alt 'I 4 m m'
_space_group_IT_number 107
_space_group_name_Hall 'I 4 -2'
loop_
_atom_site_label
_atom_site_type_symbol
_atom_site_fract_x
_atom_site_fract_y
_atom_site_fract_z
Tb1 Tb 0.0000 0.0000 0.0000
Tl1 Tl 0.0000 0.0000 0.7292
As1 As 0.0000 0.0000 0.4831
# magnetic moment: 0.000 μB per atom
# density of states at the Fermi level: 0.61 states/eV per atom
# E_form: -13.520 kcal/mol of atoms
# total DFT energy (no corrections): -4.468 eV/atom

=====

# Tb2TmAs | Alexandria | PBE | relaxed
data_Tb2TmAs
_cell_length_a 3.8574
_cell_length_b 3.8574
_cell_length_c 28.1732
_cell_angle_alpha 90.00
_cell_angle_beta 90.00
_cell_angle_gamma 120.00
_space_group_name_H-M_alt 'R -3 m'
_space_group_IT_number 166
_space_group_name_Hall '-R 3 2"'
loop_
_atom_site_label
_atom_site_type_symbol
_atom_site_fract_x
_atom_site_fract_y
_atom_site_fract_z
Tb1 Tb 0.0000 0.0000 0.2288
Tm1 Tm 0.0000 0.0000 0.0000
As1 As 0.0000 0.0000 0.5000
# magnetic moment: 0.243 μB per atom
# density of states at the Fermi level: 1.22 states/eV per atom
# E_form: -13.190 kcal/mol of atoms
# total DFT energy (no corrections): -5.167 eV/atom

=====

- Among the records above, which one has the highest density of states at the Fermi level?
  Tb2TmAs